No. 1
The following is a DFT calculation (PBEsol) of a relaxed Rb3AgMo crystal. Values from VASP.

```
&SYSTEM
  ibrav = 0, nat = 5, ntyp = 3
/
ATOMIC_SPECIES
Rb 85.47 Rb.upf
Ag 107.87 Ag.upf
Mo 95.94 Mo.upf
ATOMIC_POSITIONS crystal
Rb 0.000 0.000 0.500
Rb 0.500 0.000 0.000
Rb 0.000 0.500 0.000
Ag 0.000 0.000 0.000
Mo 0.500 0.500 0.500
CELL_PARAMETERS angstrom
6.528 0.000 0.000
0.000 6.528 0.000
0.000 0.000 6.528
```

Output
The energy of formation from the pure elements comes out at 1.29 eV/atom. Its space group is Pm-3m. The value obtained for the total magnetic moment is 5.6 Bohr magnetons per cell. The calculation puts the density of states at the Fermi level at 4.21 states/eV per cell. The value obtained for the total DFT energy (no corrections) is -2.341 eV per atom.


No. 2
The following is a DFT calculation (PBEsol) of a relaxed ReAg2Mo crystal. Values from VASP.

```
&SYSTEM
  ibrav = 0, nat = 4, ntyp = 3
/
ATOMIC_SPECIES
Mo 95.94 Mo.upf
Ag 107.87 Ag.upf
Re 186.21 Re.upf
ATOMIC_POSITIONS crystal
Mo 0.000 0.000 0.000
Ag 0.750 0.750 0.750
Ag 0.250 0.250 0.250
Re 0.500 0.500 0.500
CELL_PARAMETERS angstrom
-0.973 -0.492 4.312
0.598 -3.938 1.979
3.268 -0.522 2.972
```

Output
The energy of formation from the pure elements comes out at 1.05 eV/atom. Its space group is Fm-3m. The value obtained for the total magnetic moment is 0.0 Bohr magnetons per cell. The calculation puts the density of states at the Fermi level at 4.61 states/eV per cell. The value obtained for the total DFT energy (no corrections) is -6.880 eV per atom. The energy above the most stable polymorph in this dataset is 588 meV per atom.


No. 3
The following is a DFT calculation (PBEsol) of a relaxed ReAgMo2 crystal. Values from VASP.

```
&SYSTEM
  ibrav = 0, nat = 4, ntyp = 3
/
ATOMIC_SPECIES
Mo 95.94 Mo.upf
Re 186.21 Re.upf
Ag 107.87 Ag.upf
ATOMIC_POSITIONS crystal
Mo 0.249 0.499 0.743
Mo 0.001 0.001 0.005
Re 0.499 0.999 0.505
Ag 0.751 0.502 0.247
CELL_PARAMETERS angstrom
2.660 0.000 0.000
-1.330 4.646 -0.010
0.000 -0.611 4.959
```

Output
The energy of formation from the pure elements comes out at 0.45 eV/atom. Its space group is Cm. The value obtained for the total magnetic moment is 0.0 Bohr magnetons per cell. The calculation puts the density of states at the Fermi level at 3.34 states/eV per cell. The value obtained for the total DFT energy (no corrections) is -9.596 eV per atom. The energy above the most stable polymorph in this dataset is 154 meV per atom.


No. 4
The following is a DFT calculation (PBEsol) of a relaxed Re2AgMo crystal. Values from VASP.

```
&SYSTEM
  ibrav = 0, nat = 4, ntyp = 3
/
ATOMIC_SPECIES
Mo 95.94 Mo.upf
Re 186.21 Re.upf
Ag 107.87 Ag.upf
ATOMIC_POSITIONS crystal
Mo 0.500 0.500 0.237
Re 0.000 0.000 0.999
Re 0.500 0.500 0.763
Ag 0.000 0.000 0.500
CELL_PARAMETERS angstrom
-0.429 1.759 -1.953
-2.289 -1.161 0.712
-1.405 6.618 6.271
```

Output
The energy of formation from the pure elements comes out at 0.40 eV/atom. Its space group is Cmm2. The value obtained for the total magnetic moment is 0.0 Bohr magnetons per cell. The calculation puts the density of states at the Fermi level at 3.70 states/eV per cell. The value obtained for the total DFT energy (no corrections) is -10.040 eV per atom. The energy above the most stable polymorph in this dataset is 0 meV per atom.


No. 5
The following is a DFT calculation (PBEsol) of a relaxed ReAg2Mo crystal. Values from VASP.

```
&SYSTEM
  ibrav = 0, nat = 4, ntyp = 3
/
ATOMIC_SPECIES
Re 186.21 Re.upf
Mo 95.94 Mo.upf
Ag 107.87 Ag.upf
ATOMIC_POSITIONS crystal
Re 0.500 0.500 0.733
Mo 0.000 0.000 0.518
Ag 0.500 0.500 0.243
Ag 0.000 0.000 0.006
CELL_PARAMETERS angstrom
-1.368 1.393 1.805
-3.086 0.443 -2.681
-2.369 -4.829 1.930
```

Output
The energy of formation from the pure elements comes out at 0.46 eV/atom. Its space group is Pmm2. The value obtained for the total magnetic moment is 0.0 Bohr magnetons per cell. The calculation puts the density of states at the Fermi level at 2.85 states/eV per cell. The value obtained for the total DFT energy (no corrections) is -7.468 eV per atom. The energy above the most stable polymorph in this dataset is 0 meV per atom.


No. 6
The following is a DFT calculation (PBEsol) of a relaxed ReAg2Mo crystal. Values from VASP.

```
&SYSTEM
  ibrav = 0, nat = 4, ntyp = 3
/
ATOMIC_SPECIES
Re 186.21 Re.upf
Mo 95.94 Mo.upf
Ag 107.87 Ag.upf
ATOMIC_POSITIONS crystal
Re 0.229 0.729 0.458
Mo 0.524 0.524 0.047
Ag 0.753 0.253 0.506
Ag 0.994 0.994 0.989
CELL_PARAMETERS angstrom
-1.083 3.039 -0.146
-2.921 -0.875 3.460
5.030 0.134 1.207
```

Output
The energy of formation from the pure elements comes out at 0.60 eV/atom. Its space group is Imm2. The value obtained for the total magnetic moment is 0.0 Bohr magnetons per cell. The calculation puts the density of states at the Fermi level at 2.04 states/eV per cell. The value obtained for the total DFT energy (no corrections) is -7.333 eV per atom. The energy above the most stable polymorph in this dataset is 135 meV per atom.


No. 7
The following is a DFT calculation (PBEsol) of a relaxed Re2AgMo crystal. Values from VASP.

```
&SYSTEM
  ibrav = 0, nat = 4, ntyp = 3
/
ATOMIC_SPECIES
Re 186.21 Re.upf
Mo 95.94 Mo.upf
Ag 107.87 Ag.upf
ATOMIC_POSITIONS crystal
Re 0.998 0.992 0.995
Re 0.258 0.772 0.516
Mo 0.743 0.239 0.487
Ag 0.501 0.497 0.002
CELL_PARAMETERS angstrom
-0.390 0.230 2.756
-4.667 -0.745 -0.598
1.735 -4.455 -0.798
```

Output
The energy of formation from the pure elements comes out at 0.45 eV/atom. Its space group is Cm. The value obtained for the total magnetic moment is 0.0 Bohr magnetons per cell. The calculation puts the density of states at the Fermi level at 3.29 states/eV per cell. The value obtained for the total DFT energy (no corrections) is -9.991 eV per atom. The energy above the most stable polymorph in this dataset is 49 meV per atom.


No. 8
The following is a DFT calculation (PBEsol) of a relaxed Re2AgMo crystal. Values from VASP.

```
&SYSTEM
  ibrav = 0, nat = 4, ntyp = 3
/
ATOMIC_SPECIES
Mo 95.94 Mo.upf
Ag 107.87 Ag.upf
Re 186.21 Re.upf
ATOMIC_POSITIONS crystal
Mo 0.000 0.000 0.000
Ag 0.500 0.500 0.000
Re 0.750 0.250 0.500
Re 0.250 0.750 0.500
CELL_PARAMETERS angstrom
-3.557 -1.501 0.585
0.597 -2.545 -2.901
2.988 -0.549 3.725
```

Output
The energy of formation from the pure elements comes out at 0.48 eV/atom. Its space group is I4/mmm. The value obtained for the total magnetic moment is 0.0 Bohr magnetons per cell. The calculation puts the density of states at the Fermi level at 2.82 states/eV per cell. The value obtained for the total DFT energy (no corrections) is -9.953 eV per atom. The energy above the most stable polymorph in this dataset is 87 meV per atom.